Compound: MgCo2Ir
Source: Alexandria via LeMat-Bulk
Functional: SCAN
Structure: single point on PBEsol structure

## Properties
Symmetry: I4/mmm, No. 139
Energy, eV per atom: -27.492
Energy of formation from the pure elements, kcal/mol of atoms: 4.106
Total magnetization, μB per formula unit: 0.01

Cell: 4.4229 4.4229 4.4229 Å, 130.34 130.34 72.87°
Sites, in units of the cell vectors:
Mg 0.0000 0.0000 0.0000
Co 0.2500 0.7500 0.5000
Co 0.7500 0.2500 0.5000
Ir 0.5000 0.5000 0.0000